Here is NaCd8Pb3 after structural relaxation from Alexandria. Energies are from PBE-GGA.

Values from the calculation:
calculated total energy = -20.1 eV/cell
DOS(E_F) = 0.322 states/eV per atom
space-group type = P3m1, No. 156

abc: 5.962 5.962 9.941
angles: 90.00 90.00 120.00
Fractional coordinates of all 12 atoms:
1 Na 0.000 0.000 0.000
2 Cd 0.163 0.326 0.693
3 Cd 0.163 0.837 0.693
4 Cd 0.333 0.667 0.440
5 Cd 0.333 0.667 0.941
6 Cd 0.503 0.007 0.186
7 Cd 0.503 0.497 0.186
8 Cd 0.674 0.837 0.693
9 Cd 0.993 0.497 0.186
10 Pb 0.000 0.000 0.357
11 Pb 0.667 0.333 0.506
12 Pb 0.667 0.333 0.879